A relaxed Mg2Ir crystal. Source: the Alexandria database, functional PBE-GGA.

Cell lengths 4.557, 4.557, 5.618 Å; angles 90.00, 90.00, 120.00 degrees
Positions (direct):
Mg 0.000 0.000 0.000
Mg 0.000 0.000 0.500
Mg 0.333 0.667 0.250
Mg 0.667 0.333 0.750
Ir 0.333 0.667 0.750
Ir 0.667 0.333 0.250

Computed properties:
The crystal system is hexagonal. The value obtained for the calculated formation energy is -0.24 eV/atom. Its space-group type is P6_3/mmc.

***

A relaxed CsTa2SnI crystal. Source: the Alexandria database, functional PBE-GGA.

Cell lengths 5.233, 5.233, 6.204 Å; angles 90.00, 90.00, 90.00 degrees
Positions (direct):
Cs 0.000 0.000 0.000
Ta 0.000 0.500 0.000
Ta 0.500 0.000 0.000
Sn 0.000 0.000 0.500
I 0.500 0.500 0.500

Computed properties:
As for the uncorrected formation energy: 2.82 eV per atom. The crystal system is tetragonal. Its space-group type is P4/mmm.

***

A relaxed ErTh crystal. Source: the Alexandria database, functional PBE-GGA.

Cell lengths 3.980, 3.980, 3.980 Å; angles 90.00, 90.00, 90.00 degrees
Positions (direct):
Er 0.000 0.000 0.000
Th 0.500 0.500 0.500

Computed properties:
The crystal system is cubic. The value obtained for the calculated formation energy is 0.13 eV/atom. Its space-group type is Pm-3m.

***

A relaxed SrPm2Pr crystal. Source: the Alexandria database, functional PBE-GGA.

Cell lengths 6.005, 6.005, 6.005 Å; angles 60.00, 60.00, 60.00 degrees
Positions (direct):
Sr 0.000 0.000 0.000
Pm 0.250 0.250 0.250
Pm 0.750 0.750 0.750
Pr 0.500 0.500 0.500

Computed properties:
The crystal system is cubic. The value obtained for the calculated formation energy is 0.22 eV/atom. Its space-group type is Fm-3m.

***

A relaxed In3Sn2Pb8 crystal. Source: the Alexandria database, functional PBE-GGA.

Cell lengths 10.502, 3.439, 12.055 Å; angles 90.00, 109.35, 90.00 degrees
Positions (direct):
In 0.000 0.000 0.000
In 0.044 0.500 0.259
In 0.956 0.500 0.741
Sn 0.440 0.000 0.718
Sn 0.560 0.000 0.282
Pb 0.162 0.500 0.588
Pb 0.248 0.000 0.874
Pb 0.287 0.500 0.135
Pb 0.331 0.000 0.417
Pb 0.669 0.000 0.583
Pb 0.713 0.500 0.865
Pb 0.752 0.000 0.126
Pb 0.838 0.500 0.412

Computed properties:
The crystal system is monoclinic. The value obtained for the calculated formation energy is 0.06 eV/atom. Its space-group type is P2/m.

***

A relaxed Ho5CdRh crystal. Source: the Alexandria database, functional PBE-GGA.

Cell lengths 5.842, 5.842, 11.903 Å; angles 101.94, 101.94, 78.34 degrees
Positions (direct):
Ho 0.006 0.994 0.750
Ho 0.082 0.418 0.624
Ho 0.208 0.539 0.930
Ho 0.418 0.082 0.124
Ho 0.461 0.792 0.570
Ho 0.539 0.208 0.430
Ho 0.582 0.918 0.876
Ho 0.792 0.461 0.070
Ho 0.918 0.582 0.376
Ho 0.994 0.006 0.250
Cd 0.403 0.597 0.250
Cd 0.597 0.403 0.750
Rh 0.000 0.000 0.000
Rh 0.000 0.000 0.500

Computed properties:
The crystal system is monoclinic. The value obtained for the calculated formation energy is -0.25 eV/atom. Its space-group type is C2/c.

***

Number 1: total energy -4.2589 eV/atom, size of the total moment 0.000 μB/atom, theoretical density 7.92 g/cm3. Number 2: total energy -3.2057 eV/atom, size of the total moment 0.300 μB/atom, theoretical density 7.24 g/cm3. Number 3: total energy -5.8578 eV/atom, size of the total moment 0.000 μB/atom, theoretical density 10.52 g/cm3. Number 4: total energy -3.7738 eV/atom, size of the total moment 0.359 μB/atom, theoretical density 5.62 g/cm3. Number 5: total energy -3.4678 eV/atom, size of the total moment 0.000 μB/atom, theoretical density 9.05 g/cm3. Number 6: total energy -4.6990 eV/atom, size of the total moment 0.000 μB/atom, theoretical density 9.01 g/cm3.